1.
The following is a PBE calculation of a relaxed structure of KGa2CoPb, from Alexandria.

a = 5.564 Å, b = 6.072 Å, c = 5.564 Å
α = 90.00°, β = 90.00°, γ = 90.00°
Site moments in Bohr magnetons follow the coordinates.
Fractional coordinates of all 5 atoms:
Pb: 0.000 0.500 0.000  0.00
K: 0.000 0.000 0.000  0.00
Co: 0.500 0.500 0.500  2.18
Ga: 0.000 0.000 0.500  -0.01
Ga: 0.500 0.000 0.000  -0.01

Properties
The density of states at the Fermi level comes out at 4.8 states/eV/cell. Its space group is No. 123. The calculated volume is 37.595 Å³ per atom. For the total magnetization, the calculation gives 0.439 μB per atom. The formation energy from the elements comes out at 1.632 eV per atom. The total energy is -9.81 eV per cell.

---

2.
The following is a PBE calculation of a relaxed structure of TmTlCd4, from Alexandria.

a = 5.955 Å, b = 5.955 Å, c = 5.955 Å
α = 60.00°, β = 60.00°, γ = 60.00°
Fractional coordinates of all 6 atoms:
Tl: 0.000 0.000 0.000
Tm: 0.250 0.250 0.250
Cd: 0.625 0.625 0.126
Cd: 0.625 0.126 0.625
Cd: 0.625 0.625 0.625
Cd: 0.126 0.625 0.625

Properties
The density of states at the Fermi level comes out at 3.3 states/eV/cell. Its space group is No. 216. The calculated volume is 24.893 Å³ per atom. For the total magnetization, the calculation gives 0.000 μB per atom. The formation energy from the elements comes out at -0.063 eV per atom. The total energy is -10.87 eV per cell.